Record 1
Material: Sr2ScGeSe5
Method: DFT, GGA-PBE
State: optimized geometry

Cell lengths 9.3397, 9.3397, 12.5227 Å; angles 90.00, 90.00, 153.57 degrees
Atoms (fractional coordinates):
Sr: 0.1189 0.8811 0.5000
Sr: 0.1272 0.8728 0.1345
Sr: 0.8728 0.1272 0.6345
Sr: 0.8811 0.1189 0.0000
Sc: 0.2102 0.7898 0.8432
Sc: 0.7898 0.2102 0.3432
Ge: 0.4413 0.5587 0.2623
Ge: 0.5587 0.4413 0.7623
Se: 0.0519 0.9481 0.8636
Se: 0.2912 0.7088 0.4822
Se: 0.3121 0.6879 0.1924
Se: 0.3533 0.6467 0.8204
Se: 0.4994 0.5006 0.5878
Se: 0.5006 0.4994 0.0878
Se: 0.6467 0.3533 0.3204
Se: 0.6879 0.3121 0.6924
Se: 0.7088 0.2912 0.9822
Se: 0.9481 0.0519 0.3636

Output
For the raw total energy, the calculation gives -0.3646 Ry per atom. The uncorrected formation energy is -1.4340 eV per atom. The density of states at the Fermi level comes out at 0.1271 states/eV/atom. Its crystal system is orthorhombic.

***

Record 2
Material: Sc4GeTeSe2
Method: DFT, GGA-PBE
State: optimized geometry

Cell lengths 6.8293, 3.9446, 6.9347 Å; angles 90.00, 109.33, 90.00 degrees
Atoms (fractional coordinates):
Sc: 0.2398 0.0000 0.2214
Sc: 0.2554 0.5000 0.7698
Sc: 0.7446 0.5000 0.2302
Sc: 0.7602 0.0000 0.7786
Ge: 0.5000 0.0000 0.0000
Te: 0.5000 0.5000 0.5000
Se: 0.0000 0.0000 0.5000
Se: 0.0000 0.5000 0.0000

Output
For the raw total energy, the calculation gives -0.4650 Ry per atom. The uncorrected formation energy is -1.3199 eV per atom. The density of states at the Fermi level comes out at 0.4301 states/eV/atom. Its crystal system is monoclinic.

***

Record 3
Material: Sc6Ge2TeSe3
Method: DFT, GGA-PBE
State: optimized geometry

Cell lengths 8.8013, 8.8013, 7.9390 Å; angles 102.84, 102.84, 25.80 degrees
Atoms (fractional coordinates):
Sc: 0.0078 0.0078 0.2736
Sc: 0.3258 0.3258 0.8941
Sc: 0.3301 0.3301 0.4219
Sc: 0.6699 0.6699 0.5781
Sc: 0.6742 0.6742 0.1059
Sc: 0.9922 0.9922 0.7264
Ge: 0.1680 0.1680 0.3368
Ge: 0.8320 0.8320 0.6632
Te: 0.5000 0.5000 0.0000
Se: 0.1627 0.1627 0.8363
Se: 0.5000 0.5000 0.5000
Se: 0.8373 0.8373 0.1637

Output
For the raw total energy, the calculation gives -0.4684 Ry per atom. The uncorrected formation energy is -1.3040 eV per atom. The density of states at the Fermi level comes out at 0.3872 states/eV/atom. Its crystal system is monoclinic.

***

Q: Among the records above, which one has the lowest raw total energy?
A: Sc6Ge2TeSe3